1.
# Nb4Si7Ni4, relaxed, DFT PBE-GGA
# energy relative to the elements, uncorrected	0.1286	eV/atom
# magnetic moment	0.000	μB per formula unit
# DFT total energy	-0.24362	hartree per atom
# V	233.2	Å³/f.u.
# energy relative to the lowest polymorph listed for this composition	0.773	eV per atom
data_Nb4Si7Ni4
_chemical_formula_sum 'Nb16 Si28 Ni16'
_cell_length_a 14.053
_cell_length_b 14.053
_cell_length_c 4.724
_cell_angle_alpha 90.00
_cell_angle_beta 90.00
_cell_angle_gamma 90.00
_symmetry_space_group_name_H-M 'I 4/m m m'
_symmetry_Int_Tables_number 139
_symmetry_space_group_name_Hall '-I 4 2'
loop_
_atom_site_label
_atom_site_fract_x
_atom_site_fract_y
_atom_site_fract_z
_atom_site_occupancy
Nb1 0.085 0.205 0.000 1
Si1 0.000 0.000 0.243 1
Si2 0.000 0.280 0.500 1
Si3 0.000 0.408 0.000 1
Si4 0.213 0.213 0.500 1
Ni1 0.138 0.362 0.250 1



2.
# La3AgH3, relaxed, DFT PBE-GGA
# magnetic moment	0.148	μB per formula unit
# DFT total energy	-0.15622	hartree per atom
# V	145.5	Å³/f.u.
data_La3AgH3
_chemical_formula_sum 'La6 Ag2 H6'
_cell_length_a 6.627
_cell_length_b 6.627
_cell_length_c 6.627
_cell_angle_alpha 90.00
_cell_angle_beta 90.00
_cell_angle_gamma 90.00
_symmetry_space_group_name_H-M 'P m -3 n'
_symmetry_Int_Tables_number 223
_symmetry_space_group_name_Hall '-P 4n 2 3'
loop_
_atom_site_label
_atom_site_fract_x
_atom_site_fract_y
_atom_site_fract_z
_atom_site_occupancy
La1 0.000 0.250 0.500 1
Ag1 0.000 0.000 0.000 1
H1 0.000 0.500 0.250 1



3.
# Tb2EuIn, relaxed, DFT PBE-GGA
# formation energy from the elements	-0.51	eV/f.u.
# magnetic moment	7.485	μB per formula unit
# DFT total energy	-0.20931	hartree per atom
# V	119.1	Å³/f.u.
# energy relative to the lowest polymorph listed for this composition	0.088	eV per atom
data_Tb2EuIn
_chemical_formula_sum 'Tb8 Eu4 In4'
_cell_length_a 7.809
_cell_length_b 7.809
_cell_length_c 7.809
_cell_angle_alpha 90.00
_cell_angle_beta 90.00
_cell_angle_gamma 90.00
_symmetry_space_group_name_H-M 'F m -3 m'
_symmetry_Int_Tables_number 225
_symmetry_space_group_name_Hall '-F 4 2 3'
loop_
_atom_site_label
_atom_site_fract_x
_atom_site_fract_y
_atom_site_fract_z
_atom_site_occupancy
Tb1 0.250 0.250 0.250 1
Eu1 0.000 0.000 0.000 1
In1 0.000 0.000 0.500 1



4.
# FeIrAu2, relaxed, DFT PBE-GGA
# formation energy from the elements	1.16	eV/f.u.
# magnetic moment	3.613	μB per formula unit
# DFT total energy	-0.20871	hartree per atom
# V	63.4	Å³/f.u.
# energy relative to the lowest polymorph listed for this composition	0.170	eV per atom
data_FeIrAu2
_chemical_formula_sum 'Fe2 Ir2 Au4'
_cell_length_a 5.542
_cell_length_b 7.942
_cell_length_c 2.882
_cell_angle_alpha 90.00
_cell_angle_beta 90.00
_cell_angle_gamma 90.00
_symmetry_space_group_name_H-M 'C m m m'
_symmetry_Int_Tables_number 65
_symmetry_space_group_name_Hall '-C 2 2'
loop_
_atom_site_label
_atom_site_fract_x
_atom_site_fract_y
_atom_site_fract_z
_atom_site_occupancy
Fe1 0.000 0.000 0.000 1
Ir1 0.000 0.500 0.000 1
Au1 0.250 0.250 0.500 1



5.
# Dy5ZrZn6, relaxed, DFT PBE-GGA
# formation energy from the elements	-3.69	eV/f.u.
# magnetic moment	0.000	μB per formula unit
# DFT total energy	-0.13135	hartree per atom
# V	263.2	Å³/f.u.
data_Dy5ZrZn6
_chemical_formula_sum 'Dy10 Zr2 Zn12'
_cell_length_a 4.961
_cell_length_b 14.966
_cell_length_c 7.089
_cell_angle_alpha 90.00
_cell_angle_beta 90.00
_cell_angle_gamma 90.00
_symmetry_space_group_name_H-M 'C m m m'
_symmetry_Int_Tables_number 65
_symmetry_space_group_name_Hall '-C 2 2'
loop_
_atom_site_label
_atom_site_fract_x
_atom_site_fract_y
_atom_site_fract_z
_atom_site_occupancy
Dy1 0.000 0.000 0.000 1
Dy2 0.000 0.331 0.000 1
Dy3 0.000 0.334 0.500 1
Zr1 0.000 0.000 0.500 1
Zn1 0.000 0.160 0.258 1
Zn2 0.000 0.500 0.262 1



6.
# Ac8ZnRu3I4, relaxed, DFT PBE-GGA
# energy relative to the elements, uncorrected	-0.7129	eV/atom
# magnetic moment	0.000	μB per formula unit
# DFT total energy	-0.18277	hartree per atom
# V	582.4	Å³/f.u.
data_Ac8ZnRu3I4
_chemical_formula_sum 'Ac24 Zn3 Ru9 I12'
_cell_length_a 8.8203
_cell_length_b 8.8203
_cell_length_c 25.9353
_cell_angle_alpha 90.00
_cell_angle_beta 90.00
_cell_angle_gamma 120.00
_symmetry_space_group_name_H-M 'R -3 m'
_symmetry_Int_Tables_number 166
_symmetry_space_group_name_Hall '-R 3 2"'
loop_
_atom_site_label
_atom_site_fract_x
_atom_site_fract_y
_atom_site_fract_z
_atom_site_occupancy
Ac1 0.0000 0.0000 0.2297 1
Ac2 0.0178 0.5089 0.7718 1
Zn1 0.0000 0.0000 0.5000 1
Ru1 0.0000 0.5000 0.5000 1
I1 0.0000 0.0000 0.0000 1
I2 0.0000 0.5000 0.0000 1



7.
# GdHoInAg, relaxed, DFT PBE-GGA
# formation energy from the elements	-1.59	eV/f.u.
# magnetic moment	7.564	μB per formula unit
# DFT total energy	-0.23743	hartree per atom
# V	102.9	Å³/f.u.
data_GdHoInAg
_chemical_formula_sum 'Gd4 Ho4 In4 Ag4'
_cell_length_a 7.438
_cell_length_b 7.438
_cell_length_c 7.438
_cell_angle_alpha 90.00
_cell_angle_beta 90.00
_cell_angle_gamma 90.00
_symmetry_space_group_name_H-M 'F -4 3 m'
_symmetry_Int_Tables_number 216
_symmetry_space_group_name_Hall 'F -4 2 3'
loop_
_atom_site_label
_atom_site_fract_x
_atom_site_fract_y
_atom_site_fract_z
_atom_site_occupancy
Gd1 0.000 0.000 0.000 1
Ho1 0.000 0.000 0.500 1
In1 0.250 0.250 0.750 1
Ag1 0.250 0.250 0.250 1



8.
# Hf2Zr3Bi3, relaxed, DFT PBE-GGA
# formation energy from the elements	-1.04	eV/f.u.
# magnetic moment	0.000	μB per formula unit
# DFT total energy	-0.26752	hartree per atom
# V	200.2	Å³/f.u.
# energy relative to the lowest polymorph listed for this composition	0.067	eV per atom
data_Hf2Zr3Bi3
_chemical_formula_sum 'Hf8 Zr12 Bi12'
_cell_length_a 3.689
_cell_length_b 15.062
_cell_length_c 14.413
_cell_angle_alpha 90.00
_cell_angle_beta 90.00
_cell_angle_gamma 90.00
_symmetry_space_group_name_H-M 'C m c m'
_symmetry_Int_Tables_number 63
_symmetry_space_group_name_Hall '-C 2c 2'
loop_
_atom_site_label
_atom_site_fract_x
_atom_site_fract_y
_atom_site_fract_z
_atom_site_occupancy
Hf1 0.000 0.241 0.140 1
Zr1 0.000 0.019 0.610 1
Zr2 0.000 0.390 0.750 1
Bi1 0.000 0.377 0.525 1
Bi2 0.000 0.403 0.250 1



9.
# MnCo2TcBr, relaxed, DFT PBE-GGA
# energy relative to the elements, uncorrected	1.4069	eV/atom
# magnetic moment	8.742	μB per formula unit
# DFT total energy	-0.20863	hartree per atom
# V	83.0	Å³/f.u.
data_MnCo2TcBr
_chemical_formula_sum 'Mn1 Co2 Tc1 Br1'
_cell_length_a 4.311
_cell_length_b 4.311
_cell_length_c 4.464
_cell_angle_alpha 90.00
_cell_angle_beta 90.00
_cell_angle_gamma 90.00
_symmetry_space_group_name_H-M 'P 4/m m m'
_symmetry_Int_Tables_number 123
_symmetry_space_group_name_Hall '-P 4 2'
loop_
_atom_site_label
_atom_site_fract_x
_atom_site_fract_y
_atom_site_fract_z
_atom_site_occupancy
Mn1 0.000 0.000 0.000 1
Co1 0.000 0.500 0.500 1
Tc1 0.500 0.500 0.000 1
Br1 0.000 0.000 0.500 1



10.
# Li2NdZn2Ga2, relaxed, DFT PBE-GGA
# formation energy from the elements	-2.62	eV/f.u.
# magnetic moment	0.000	μB per formula unit
# DFT total energy	-0.10404	hartree per atom
# V	128.7	Å³/f.u.
data_Li2NdZn2Ga2
_chemical_formula_sum 'Li4 Nd2 Zn4 Ga4'
_cell_length_a 7.483
_cell_length_b 4.343
_cell_length_c 8.327
_cell_angle_alpha 90.00
_cell_angle_beta 108.01
_cell_angle_gamma 90.00
_symmetry_space_group_name_H-M 'C 1 2/m 1'
_symmetry_Int_Tables_number 12
loop_
_symmetry_equiv_pos_as_xyz
'x,y,z'
'-x,-y,-z'
'-x,y,-z'
'x,-y,z'
'x+1/2,y+1/2,z'
'-x+1/2,-y+1/2,-z'
'-x+1/2,y+1/2,-z'
'x+1/2,-y+1/2,z'
loop_
_atom_site_label
_atom_site_fract_x
_atom_site_fract_y
_atom_site_fract_z
_atom_site_occupancy
Li1 0.144 0.000 0.426 1
Nd1 0.000 0.000 0.000 1
Zn1 0.063 0.500 0.690 1
Ga1 0.246 0.500 0.236 1



11.
# CsBeCl2, relaxed, DFT PBE-GGA
# energy relative to the elements, uncorrected	-0.3346	eV/atom
# magnetic moment	1.000	μB per formula unit
# DFT total energy	-0.08830	hartree per atom
# V	115.8	Å³/f.u.
# energy relative to the lowest polymorph listed for this composition	0.526	eV per atom
data_CsBeCl2
_chemical_formula_sum 'Cs4 Be4 Cl8'
_cell_length_a 7.737
_cell_length_b 7.737
_cell_length_c 7.737
_cell_angle_alpha 90.00
_cell_angle_beta 90.00
_cell_angle_gamma 90.00
_symmetry_space_group_name_H-M 'F m -3 m'
_symmetry_Int_Tables_number 225
_symmetry_space_group_name_Hall '-F 4 2 3'
loop_
_atom_site_label
_atom_site_fract_x
_atom_site_fract_y
_atom_site_fract_z
_atom_site_occupancy
Cs1 0.000 0.000 0.000 1
Be1 0.000 0.000 0.500 1
Cl1 0.250 0.250 0.250 1



12.
# BeRuS2N, relaxed, DFT PBE-GGA
# energy relative to the elements, uncorrected	0.7317	eV/atom
# magnetic moment	0.410	μB per formula unit
# DFT total energy	-0.19054	hartree per atom
# V	61.9	Å³/f.u.
# energy relative to the lowest polymorph listed for this composition	0.000	eV per atom
data_BeRuS2N
_chemical_formula_sum 'Be1 Ru1 S2 N1'
_cell_length_a 4.502
_cell_length_b 4.502
_cell_length_c 3.053
_cell_angle_alpha 90.00
_cell_angle_beta 90.00
_cell_angle_gamma 90.00
_symmetry_space_group_name_H-M 'P 4/m m m'
_symmetry_Int_Tables_number 123
_symmetry_space_group_name_Hall '-P 4 2'
loop_
_atom_site_label
_atom_site_fract_x
_atom_site_fract_y
_atom_site_fract_z
_atom_site_occupancy
Be1 0.000 0.000 0.000 1
Ru1 0.500 0.500 0.500 1
S1 0.000 0.500 0.000 1
N1 0.000 0.000 0.500 1



Among the records above, which one has the highest V?
Ac8ZnRu3I4



Which formula does entry 2 have?
La3AgH3